No. 1
An optimized crystal structure of Pm8C3Se3O. Source: the Alexandria database, functional PBE.

Structure (extended XYZ):
```
15
Lattice="6.6541 -3.8443 0.0000 6.6541 3.8443 0.0000 -4.4312 0.0000 6.7213" Properties=species:S:1:pos:R:3 pbc="T T T"
Pm 3.3053 1.9642 4.7525
Pm 0.0033 0.0000 4.7694
Pm 2.1717 0.0000 1.9680
Pm 5.5717 1.9642 1.9689
Pm 3.3053 -1.9642 4.7525
Pm 6.7053 0.0000 4.7534
Pm 8.8736 0.0000 1.9520
Pm 5.5717 -1.9642 1.9689
C -2.2156 0.0000 3.3607
C 1.1114 1.9222 3.3607
C 1.1114 -1.9222 3.3607
Se 3.3270 1.9222 0.0000
Se 3.3270 -1.9222 0.0000
Se 6.6541 0.0000 0.0000
O 4.4385 0.0000 3.3607
```

Output
- calculated volume (Å³ per atom) = 22.92
- total magnetization (μB per formula unit) = 0.00
- density (g/cm3) = 6.997
- formation energy without anion corrections (eV/atom) = -1.185



No. 2
An optimized crystal structure of PmSiC2O8. Source: the Alexandria database, functional PBE.

Structure (extended XYZ):
```
12
Lattice="4.2455 -2.4067 0.0000 4.2455 2.4067 0.0000 -1.8944 0.0000 5.4293" Properties=species:S:1:pos:R:3 pbc="T T T"
Pm 0.0000 0.0000 0.0000
Si 3.2983 0.0000 2.7146
C 0.4993 0.0000 3.4286
C 6.0973 0.0000 2.0007
O 2.5835 1.2542 1.5133
O 0.5497 0.0000 2.1415
O 4.0131 1.2542 3.9160
O 1.8468 0.0000 3.9622
O 4.7498 0.0000 1.4671
O 2.5835 -1.2542 1.5133
O 6.0469 0.0000 3.2878
O 4.0131 -1.2542 3.9160
```

Output
- calculated volume (Å³ per atom) = 9.25
- total magnetization (μB per formula unit) = 0.99
- density (g/cm3) = 4.866
- formation energy without anion corrections (eV/atom) = -1.636



No. 3
An optimized crystal structure of PmSmCO. Source: the Alexandria database, functional PBE.

Structure (extended XYZ):
```
4
Lattice="1.8260 1.0543 5.9186 -1.8260 1.0543 5.9186 0.0000 -2.1085 5.9186" Properties=species:S:1:pos:R:3 pbc="T T T"
Pm 0.0000 0.0000 0.0000
Sm 0.0000 0.0000 8.8162
C 0.0000 0.0000 13.2893
O 0.0000 0.0000 4.3882
```

Output
- calculated volume (Å³ per atom) = 17.09
- total magnetization (μB per formula unit) = 0.00
- density (g/cm3) = 7.855
- formation energy without anion corrections (eV/atom) = -1.537



No. 4
An optimized crystal structure of Pm6Sn2CO. Source: the Alexandria database, functional PBE.

Structure (extended XYZ):
```
10
Lattice="0.0000 4.9921 4.9921 4.9921 0.0000 4.9921 4.9921 4.9921 0.0000" Properties=species:S:1:pos:R:3 pbc="T T T"
Pm 4.9921 4.9921 2.4815
Pm 4.9921 2.4815 4.9921
Pm 7.5027 4.9921 4.9921
Pm 2.4815 4.9921 4.9921
Pm 4.9921 7.5027 4.9921
Pm 4.9921 4.9921 7.5027
Sn 2.4960 2.4960 2.4960
Sn 7.4881 7.4881 7.4881
C 0.0000 0.0000 0.0000
O 4.9921 4.9921 4.9921
```

Output
- calculated volume (Å³ per atom) = 24.88
- total magnetization (μB per formula unit) = 0.00
- density (g/cm3) = 7.578
- formation energy without anion corrections (eV/atom) = -1.029



No. 5
An optimized crystal structure of SrPmC2O6. Source: the Alexandria database, functional PBE.

Structure (extended XYZ):
```
20
Lattice="4.2145 -4.8851 0.0000 4.2145 4.8851 0.0000 -2.5481 0.0000 6.4097" Properties=species:S:1:pos:R:3 pbc="T T T"
Sr 2.3034 3.4777 4.8073
Sr 3.5775 -3.4777 1.6024
Pm 3.5775 0.9423 1.6024
Pm 2.3034 -0.9423 4.8073
C 0.1347 1.0739 4.6878
C 1.4088 -1.0739 1.4830
C 4.4721 1.0739 4.9267
C 5.7462 -1.0739 1.7219
O 2.0781 2.7075 2.1757
O 1.4037 0.0281 0.7369
O 0.1296 -0.0281 3.9417
O 1.1031 1.1552 5.6091
O 5.0769 2.7075 1.0291
O 3.5037 1.1552 4.0054
O 2.3772 -1.1552 2.4043
O 0.8040 -2.7075 5.3806
O 4.7777 -1.1552 0.8006
O 5.7513 0.0281 2.4680
O 4.4772 -0.0281 5.6728
O 3.8028 -2.7075 4.2340
```

Output
- calculated volume (Å³ per atom) = 13.20
- total magnetization (μB per formula unit) = 0.95
- density (g/cm3) = 4.437
- formation energy without anion corrections (eV/atom) = -2.099



No. 6
An optimized crystal structure of PmThCO. Source: the Alexandria database, functional PBE.

Structure (extended XYZ):
```
4
Lattice="1.8530 1.0698 5.9336 -1.8530 1.0698 5.9336 0.0000 -2.1397 5.9336" Properties=species:S:1:pos:R:3 pbc="T T T"
Pm 0.0000 0.0000 0.0000
Th 0.0000 0.0000 8.8424
C 0.0000 0.0000 13.3889
O 0.0000 0.0000 4.3567
```

Output
- calculated volume (Å³ per atom) = 17.64
- total magnetization (μB per formula unit) = 0.00
- density (g/cm3) = 9.530
- formation energy without anion corrections (eV/atom) = -1.599



No. 7
An optimized crystal structure of PmTlCO5. Source: the Alexandria database, functional PBE.

Structure (extended XYZ):
```
16
Lattice="3.4549 -4.4789 0.0000 3.4549 4.4789 0.0000 -0.0506 0.0000 6.8488" Properties=species:S:1:pos:R:3 pbc="T T T"
Pm 3.4170 3.5178 5.1366
Pm 3.4423 -3.5178 1.7122
Tl 3.4549 0.0000 0.0000
Tl 3.4296 0.0000 3.4244
C 3.4423 2.3925 1.7122
C 3.4170 -2.3925 5.1366
O 3.3704 3.2068 0.5984
O 3.5141 3.2068 2.8260
O 2.3120 1.4885 1.7800
O 3.4170 1.1930 5.1366
O 4.5726 1.4885 1.6444
O 2.2867 -1.4885 5.2044
O 3.4423 -1.1930 1.7122
O 4.5473 -1.4885 5.0688
O 3.3451 -3.2068 4.0228
O 3.4888 -3.2068 6.2505
```

Output
- calculated volume (Å³ per atom) = 13.25
- total magnetization (μB per formula unit) = 0.00
- density (g/cm3) = 6.916
- formation energy without anion corrections (eV/atom) = -1.686



No. 8
An optimized crystal structure of PmTlC2O6. Source: the Alexandria database, functional PBE.

Structure (extended XYZ):
```
20
Lattice="4.4540 -4.8694 0.0000 4.4540 4.8694 0.0000 -2.6889 0.0000 6.8168" Properties=species:S:1:pos:R:3 pbc="T T T"
Pm 2.4373 3.9258 5.1126
Pm 3.7817 -3.9258 1.7042
Tl 3.7817 1.0973 1.7042
Tl 2.4373 -1.0973 5.1126
C 0.0229 1.2024 5.1097
C 1.3674 -1.2024 1.7013
C 4.8517 1.2024 5.1155
C 6.1961 -1.2024 1.7071
O 2.6173 3.7456 2.6932
O 0.8435 2.1746 5.2003
O 4.9462 3.7456 0.7153
O -0.0265 0.2441 5.9867
O 1.3179 -0.2441 2.5783
O 4.0311 2.1746 5.0249
O 2.1880 -2.1746 1.7919
O 4.9011 0.2441 4.2385
O 6.2456 -0.2441 0.8301
O 1.2729 -3.7456 6.1016
O 5.3755 -2.1746 1.6165
O 3.6018 -3.7456 4.1237
```

Output
- calculated volume (Å³ per atom) = 14.78
- total magnetization (μB per formula unit) = 0.00
- density (g/cm3) = 5.272
- formation energy without anion corrections (eV/atom) = -1.928



No. 9
An optimized crystal structure of PmYCO. Source: the Alexandria database, functional PBE.

Structure (extended XYZ):
```
4
Lattice="-1.6044 1.6674 6.0819 1.6044 -1.6674 6.0819 1.6044 1.6674 -6.0819" Properties=species:S:1:pos:R:3 pbc="T T T"
Pm 0.0000 0.0000 0.0000
Y 0.0000 1.6674 3.0671
C 1.6044 0.0000 4.1579
O 0.0000 0.0000 7.1967
```

Output
- calculated volume (Å³ per atom) = 16.27
- total magnetization (μB per formula unit) = 0.00
- density (g/cm3) = 6.683
- formation energy without anion corrections (eV/atom) = -1.157



No. 10
An optimized crystal structure of PmZn3C4O12. Source: the Alexandria database, functional PBE.

Structure (extended XYZ):
```
20
Lattice="4.8361 2.7921 2.7282 -4.8361 2.7921 2.7282 0.0000 -5.5842 2.7282" Properties=species:S:1:pos:R:3 pbc="T T T"
Pm 0.0000 0.0000 0.0000
Zn -2.6156 -1.0540 2.7282
Zn -2.6156 1.0540 5.4564
Zn 0.3950 2.7921 2.7282
C -2.2007 -3.8117 4.0923
C 0.0000 0.0000 4.0923
C -2.2007 3.8117 4.0923
C 4.4014 0.0000 4.0923
O -2.8702 -2.6898 4.0661
O -3.9713 0.0000 4.0923
O -0.8943 -3.8305 4.1186
O -1.3080 0.0000 4.0923
O -2.8702 2.6898 4.1186
O 1.9856 -3.4392 4.0923
O 0.6540 -1.1328 4.0923
O -0.8943 3.8305 4.0661
O 0.6540 1.1328 4.0923
O 3.7645 -1.1408 4.0661
O 1.9856 3.4392 4.0923
O 3.7645 1.1408 4.1186
```

Output
- calculated volume (Å³ per atom) = 11.05
- total magnetization (μB per formula unit) = 0.00
- density (g/cm3) = 4.367
- formation energy without anion corrections (eV/atom) = -1.531